Record 1
First-principles (PBE) data for a geometry-optimized Y7In2Ag2 structure, as listed in the Alexandria database.

abc: 8.125 11.285 7.305
angles: 90.00 90.00 90.00
Space group Cmmm (No. 65)
One atom of each set of equivalent atoms:
Y 0.000 0.000 0.000 x2
Y 0.000 0.500 0.254 x4
Y 0.250 0.250 0.269 x8
In 0.175 0.000 0.500 x4
Ag 0.000 0.292 0.000 x4

Results
For the volume, the calculation gives 669.8 Å³ per cell. As for the formation energy: -0.0527 eV/atom.

***

Record 2
First-principles (PBE) data for a geometry-optimized LiSmAs2O6 structure, as listed in the Alexandria database.

abc: 10.885 8.286 6.911
angles: 90.00 121.13 90.00
Space group C2/c (No. 15)
One atom of each set of equivalent atoms:
Li 0.000 0.223 0.250 x4
Sm 0.000 0.168 0.750 x4
As 0.200 0.467 0.696 x8
O 0.107 0.291 0.562 x8
O 0.115 0.071 0.173 x8
O 0.173 0.408 0.962 x8

Results
For the volume, the calculation gives 533.5 Å³ per cell. Its formation energy (no corrections) is -1.862 eV/atom.

***

Record 3
First-principles (PBE) data for a geometry-optimized Pr2Y3Tl structure, as listed in the Alexandria database.

abc: 5.172 9.364 15.859
angles: 90.00 90.00 90.00
Space group Imma (No. 74)
One atom of each set of equivalent atoms:
Pr 0.000 0.250 0.028 x4
Pr 0.000 0.250 0.325 x4
Y 0.000 0.000 0.500 x4
Y 0.000 0.045 0.829 x8
Tl 0.000 0.250 0.643 x4

Results
For the volume, the calculation gives 768.1 Å³ per cell. As for the energy above the most stable polymorph in this dataset: 0.0 meV/atom. As for the formation energy: -0.1151 eV/atom.

***

Please write out number 3 again, unchanged.
First-principles (PBE) data for a geometry-optimized Pr2Y3Tl structure, as listed in the Alexandria database.

abc: 5.172 9.364 15.859
angles: 90.00 90.00 90.00
Space group Imma (No. 74)
One atom of each set of equivalent atoms:
Pr 0.000 0.250 0.028 x4
Pr 0.000 0.250 0.325 x4
Y 0.000 0.000 0.500 x4
Y 0.000 0.045 0.829 x8
Tl 0.000 0.250 0.643 x4

Results
For the volume, the calculation gives 768.1 Å³ per cell. As for the energy above the most stable polymorph in this dataset: 0.0 meV/atom. As for the formation energy: -0.1151 eV/atom.